Computed, not measured: a relaxed structure of RbFeGe3 at the GGA-PBE level of DFT.

The structure in extended XYZ format:
```
5
Lattice="4.8302 0.0000 0.0000 0.0000 4.8302 0.0000 0.0000 0.0000 4.8302" Properties=species:S:1:pos:R:3 pbc="T T T"
Rb 2.4151 2.4151 2.4151
Fe 0.0000 0.0000 0.0000
Ge 0.0000 0.0000 2.4151
Ge 0.0000 2.4151 0.0000
Ge 2.4151 0.0000 0.0000
```

Summary:
Formation energy from the elements (eV per atom): 0.28
Mass density (kg/m³): 5293
Final energy (eV per atom): -4.38